Record 1
VASP calculation (PBE+U) on CsTlV2O8 after structural relaxation.

Unit cell a=5.7155 b=5.7155 c=8.6282 alpha=90.00 beta=90.00 gamma=120.00
Fractional positions:
Cs 0.0000 0.0000 0.0000
Tl 0.0000 0.0000 0.5000
V 0.3333 0.6667 0.7140
V 0.6667 0.3333 0.2860
O 0.0836 0.3432 0.6585
O 0.2596 0.9164 0.6585
O 0.3333 0.6667 0.9135
O 0.3432 0.2596 0.3415
O 0.6568 0.7404 0.6585
O 0.6667 0.3333 0.0865
O 0.7404 0.0836 0.3415
O 0.9164 0.6568 0.3415

Output
Spin magnetization   2.0 μB per cell
Fermi-level density of states   0.97 states/eV/atom
V   20.34 Å³ per atom
Crystal system   trigonal

Record 2
VASP calculation (PBE+U) on Cs3TlV2O8 after structural relaxation.

Unit cell a=6.1623 b=6.1623 c=8.4102 alpha=90.00 beta=90.00 gamma=120.00
Fractional positions:
Cs 0.0000 0.0000 0.0000
Cs 0.3333 0.6667 0.7267
Cs 0.6667 0.3333 0.2733
Tl 0.0000 0.0000 0.5000
V 0.3333 0.6667 0.2797
V 0.6667 0.3333 0.7203
O 0.1754 0.3508 0.3433
O 0.1754 0.8246 0.3433
O 0.3333 0.6667 0.0787
O 0.3508 0.1754 0.6567
O 0.6492 0.8246 0.3433
O 0.6667 0.3333 0.9213
O 0.8246 0.1754 0.6567
O 0.8246 0.6492 0.6567

Output
Spin magnetization   0.0 μB per cell
Fermi-level density of states   0.00 states/eV/atom
V   19.76 Å³ per atom
Crystal system   trigonal

Record 3
VASP calculation (PBE+U) on CsTl2V2O7 after structural relaxation.

Unit cell a=9.3693 b=9.3693 c=9.3693 alpha=37.56 beta=37.56 gamma=37.56
Fractional positions:
Cs 0.0000 0.0000 0.0000
Tl 0.2089 0.2089 0.2089
Tl 0.7911 0.7911 0.7911
V 0.4304 0.4304 0.4304
V 0.5696 0.5696 0.5696
O 0.1142 0.4672 0.6473
O 0.3527 0.5328 0.8858
O 0.4672 0.6473 0.1142
O 0.5000 0.5000 0.5000
O 0.5328 0.8858 0.3527
O 0.6473 0.1142 0.4672
O 0.8858 0.3527 0.5328

Output
Spin magnetization   0.0 μB per cell
Fermi-level density of states   0.50 states/eV/atom
V   22.84 Å³ per atom
Crystal system   trigonal

Record 4
VASP calculation (PBE+U) on CsTl2VO4 after structural relaxation.

Unit cell a=8.0025 b=8.1715 c=5.8992 alpha=90.00 beta=90.00 gamma=90.00
Fractional positions:
Cs 0.0000 0.0876 0.0000
Cs 0.5000 0.9124 0.5000
Tl 0.2240 0.3457 0.4845
Tl 0.2760 0.6543 0.9845
Tl 0.7240 0.6543 0.9845
Tl 0.7760 0.3457 0.4845
V 0.0000 0.7525 0.4577
V 0.5000 0.2475 0.9577
O 0.0000 0.7246 0.1583
O 0.0000 0.9579 0.5123
O 0.1831 0.6609 0.5670
O 0.3169 0.3391 0.0670
O 0.5000 0.0421 0.0123
O 0.5000 0.2754 0.6583
O 0.6831 0.3391 0.0670
O 0.8169 0.6609 0.5670

Output
Spin magnetization   0.0 μB per cell
Fermi-level density of states   0.00 states/eV/atom
V   24.11 Å³ per atom
Crystal system   orthorhombic

Record 5
VASP calculation (PBE+U) on CsTlVO4 after structural relaxation.

Unit cell a=5.3784 b=6.4332 c=8.4035 alpha=90.00 beta=104.58 gamma=90.00
Fractional positions:
Cs 0.1960 0.2500 0.1071
Cs 0.8040 0.7500 0.8929
Tl 0.1723 0.7500 0.5257
Tl 0.8277 0.2500 0.4743
V 0.3764 0.2500 0.6973
V 0.6236 0.7500 0.3027
O 0.1989 0.0248 0.7229
O 0.1989 0.4752 0.7229
O 0.3347 0.7500 0.1659
O 0.4087 0.2500 0.4910
O 0.5913 0.7500 0.5090
O 0.6653 0.2500 0.8341
O 0.8011 0.5248 0.2771
O 0.8011 0.9752 0.2771

Output
Spin magnetization   0.0 μB per cell
Fermi-level density of states   0.35 states/eV/atom
V   20.10 Å³ per atom
Crystal system   monoclinic

Record 6
VASP calculation (PBE+U) on Cs2TlV2O6 after structural relaxation.

Unit cell a=7.2845 b=7.2845 c=7.2845 alpha=52.67 beta=52.67 gamma=52.67
Fractional positions:
Cs 0.2214 0.2214 0.2214
Cs 0.7786 0.7786 0.7786
Tl 0.0000 0.0000 0.0000
V 0.4286 0.4286 0.4286
V 0.5714 0.5714 0.5714
O 0.2610 0.2610 0.7163
O 0.2610 0.7163 0.2610
O 0.2837 0.7390 0.7390
O 0.7163 0.2610 0.2610
O 0.7390 0.2837 0.7390
O 0.7390 0.7390 0.2837

Output
Spin magnetization   0.0 μB per cell
Fermi-level density of states   0.47 states/eV/atom
V   20.57 Å³ per atom
Crystal system   trigonal

Record 7
VASP calculation (PBE+U) on Cs2TlW2O7 after structural relaxation.

Unit cell a=9.3663 b=9.3663 c=9.3663 alpha=43.48 beta=43.48 gamma=43.48
Fractional positions:
Cs 0.2270 0.2270 0.2270
Cs 0.7730 0.7730 0.7730
Tl 0.5000 0.5000 0.5000
W 0.0759 0.0759 0.0759
W 0.9241 0.9241 0.9241
O 0.0000 0.0000 0.0000
O 0.1734 0.7006 0.8215
O 0.1785 0.2994 0.8266
O 0.2994 0.8266 0.1785
O 0.7006 0.8215 0.1734
O 0.8215 0.1734 0.7006
O 0.8266 0.1785 0.2994

Output
Spin magnetization   1.0 μB per cell
Fermi-level density of states   0.57 states/eV/atom
V   29.42 Å³ per atom
Crystal system   trigonal

Record 8
VASP calculation (PBE+U) on CsTl2W2O7 after structural relaxation.

Unit cell a=9.6698 b=9.6698 c=9.6698 alpha=37.47 beta=37.47 gamma=37.47
Fractional positions:
Cs 0.0000 0.0000 0.0000
Tl 0.1869 0.1869 0.1869
Tl 0.8131 0.8131 0.8131
W 0.4282 0.4282 0.4282
W 0.5718 0.5718 0.5718
O 0.1140 0.4521 0.6538
O 0.3462 0.5479 0.8860
O 0.4521 0.6538 0.1140
O 0.5000 0.5000 0.5000
O 0.5479 0.8860 0.3462
O 0.6538 0.1140 0.4521
O 0.8860 0.3462 0.5479

Output
Spin magnetization   0.0 μB per cell
Fermi-level density of states   0.10 states/eV/atom
V   25.00 Å³ per atom
Crystal system   trigonal

Calculated VASP energy in order - -6.113, -5.982, -6.150, -5.630, -5.878, -5.954, -6.101, -6.106 eV/atom